Here is an optimized crystal structure of TlCo2IrO8 from Alexandria via LeMat-Bulk. Energies are from GGA+U. Values from VASP.

Properties
DOS(E_F) = 3.0 states/eV per cell
Energy = -68.75 eV/cell
Space group = Cmmm

```
&SYSTEM
  ibrav = 0, nat = 12, ntyp = 4
/
ATOMIC_SPECIES
Tl 204.38 Tl.upf
Co 58.93 Co.upf
Ir 192.22 Ir.upf
O 16.00 O.upf
ATOMIC_POSITIONS crystal
Tl 0.0000 0.0000 0.5000
Co 0.5000 0.5000 0.7473
Co 0.5000 0.5000 0.2527
Ir 0.0000 0.0000 0.0000
O 0.2080 0.7912 0.2125
O 0.7099 0.7105 0.0000
O 0.7920 0.2088 0.2125
O 0.7920 0.2088 0.7875
O 0.2901 0.2895 0.0000
O 0.2080 0.7912 0.7875
O 0.6768 0.6777 0.5000
O 0.3232 0.3223 0.5000
CELL_PARAMETERS angstrom
-1.0690 2.8957 -3.3797
2.4421 -2.4874 -2.9596
-5.3469 -3.5960 -1.3898
```